(1)
## NaSr2Pt2 (PBE-GGA)

Data for a geometry-optimized NaSr2Pt2 structure.

## Properties
Relative energy among the computed polymorphs: 178 meV per atom
Crystal system: tetragonal

Geometry as CIF:
```
data_NaSr2Pt2
_chemical_formula_sum 'Na2 Sr4 Pt4'
_cell_length_a 5.807
_cell_length_b 5.807
_cell_length_c 8.899
_cell_angle_alpha 90.00
_cell_angle_beta 90.00
_cell_angle_gamma 90.00
_space_group_name_H-M_alt 'I 4/m m m'
_space_group_IT_number 139
_space_group_name_Hall '-I 4 2'
loop_
_atom_site_label
_atom_site_type_symbol
_atom_site_fract_x
_atom_site_fract_y
_atom_site_fract_z
_atom_site_occupancy
Na1 Na 0.000 0.000 0.000 1
Sr1 Sr 0.000 0.500 0.250 1
Pt1 Pt 0.000 0.000 0.352 1
```


(2)
## NaSr2Pt2 (PBE-GGA)

Data for a geometry-optimized NaSr2Pt2 structure.

## Properties
Relative energy among the computed polymorphs: 164 meV per atom
Crystal system: tetragonal

Geometry as CIF:
```
data_NaSr2Pt2
_chemical_formula_sum 'Na2 Sr4 Pt4'
_cell_length_a 8.637
_cell_length_b 8.637
_cell_length_c 3.638
_cell_angle_alpha 90.00
_cell_angle_beta 90.00
_cell_angle_gamma 90.00
_space_group_name_H-M_alt 'P 4/m b m'
_space_group_IT_number 127
_space_group_name_Hall '-P 4 2ab'
loop_
_atom_site_label
_atom_site_type_symbol
_atom_site_fract_x
_atom_site_fract_y
_atom_site_fract_z
_atom_site_occupancy
Na1 Na 0.000 0.000 0.000 1
Sr1 Sr 0.143 0.357 0.000 1
Pt1 Pt 0.154 0.654 0.500 1
```


(3)
## NaSrPt (PBE-GGA)

Data for a geometry-optimized NaSrPt structure.

## Properties
Relative energy among the computed polymorphs: 10 meV per atom
Crystal system: monoclinic

Geometry as CIF:
```
data_NaSrPt
_chemical_formula_sum 'Na6 Sr6 Pt6'
_cell_length_a 7.890
_cell_length_b 4.415
_cell_length_c 13.654
_cell_angle_alpha 90.00
_cell_angle_beta 90.45
_cell_angle_gamma 90.00
_space_group_name_H-M_alt 'P 1 21/m 1'
_space_group_IT_number 11
loop_
_space_group_symop_operation_xyz
'x,y,z'
'-x,-y,-z'
'-x,y+1/2,-z'
'x,-y+1/2,z'
loop_
_atom_site_label
_atom_site_type_symbol
_atom_site_fract_x
_atom_site_fract_y
_atom_site_fract_z
_atom_site_occupancy
Na1 Na 0.008 0.250 0.083 1
Na2 Na 0.130 0.750 0.538 1
Na3 Na 0.381 0.250 0.200 1
Sr1 Sr 0.054 0.750 0.283 1
Sr2 Sr 0.343 0.250 0.916 1
Sr3 Sr 0.452 0.250 0.619 1
Pt1 Pt 0.240 0.750 0.749 1
Pt2 Pt 0.260 0.750 0.076 1
Pt3 Pt 0.262 0.250 0.410 1
```


(4)
## NaSr2Pt2 (PBE-GGA)

Data for a geometry-optimized NaSr2Pt2 structure.

## Properties
Relative energy among the computed polymorphs: 0 meV per atom
Crystal system: orthorhombic

Geometry as CIF:
```
data_NaSr2Pt2
_chemical_formula_sum 'Na2 Sr4 Pt4'
_cell_length_a 4.681
_cell_length_b 6.313
_cell_length_c 8.915
_cell_angle_alpha 90.00
_cell_angle_beta 90.00
_cell_angle_gamma 90.00
_space_group_name_H-M_alt 'I m m m'
_space_group_IT_number 71
_space_group_name_Hall '-I 2 2'
loop_
_atom_site_label
_atom_site_type_symbol
_atom_site_fract_x
_atom_site_fract_y
_atom_site_fract_z
_atom_site_occupancy
Na1 Na 0.000 0.000 0.000 1
Sr1 Sr 0.000 0.500 0.205 1
Pt1 Pt 0.000 0.211 0.500 1
```


(5)
## Na2Sr3Pt (PBE-GGA)

Data for a geometry-optimized Na2Sr3Pt structure.

## Properties
Crystal system: monoclinic

Geometry as CIF:
```
data_Na2Sr3Pt
_chemical_formula_sum 'Na4 Sr6 Pt2'
_cell_length_a 19.141
_cell_length_b 6.023
_cell_length_c 4.334
_cell_angle_alpha 90.00
_cell_angle_beta 90.25
_cell_angle_gamma 90.00
_space_group_name_H-M_alt 'C 1 2/m 1'
_space_group_IT_number 12
loop_
_space_group_symop_operation_xyz
'x,y,z'
'-x,-y,-z'
'-x,y,-z'
'x,-y,z'
'x+1/2,y+1/2,z'
'-x+1/2,-y+1/2,-z'
'-x+1/2,y+1/2,-z'
'x+1/2,-y+1/2,z'
loop_
_atom_site_label
_atom_site_type_symbol
_atom_site_fract_x
_atom_site_fract_y
_atom_site_fract_z
_atom_site_occupancy
Na1 Na 0.202 0.000 0.004 1
Sr1 Sr 0.000 0.000 0.000 1
Sr2 Sr 0.109 0.500 0.502 1
Pt1 Pt 0.000 0.500 0.000 1
```


(6)
## Na2Sr4Pt (PBE-GGA)

Data for a geometry-optimized Na2Sr4Pt structure.

## Properties
Relative energy among the computed polymorphs: 0 meV per atom
Crystal system: monoclinic

Geometry as CIF:
```
data_Na2Sr4Pt
_chemical_formula_sum 'Na4 Sr8 Pt2'
_cell_length_a 19.840
_cell_length_b 4.493
_cell_length_c 7.066
_cell_angle_alpha 90.00
_cell_angle_beta 101.06
_cell_angle_gamma 90.00
_space_group_name_H-M_alt 'C 1 2/m 1'
_space_group_IT_number 12
loop_
_space_group_symop_operation_xyz
'x,y,z'
'-x,-y,-z'
'-x,y,-z'
'x,-y,z'
'x+1/2,y+1/2,z'
'-x+1/2,-y+1/2,-z'
'-x+1/2,y+1/2,-z'
'x+1/2,-y+1/2,z'
loop_
_atom_site_label
_atom_site_type_symbol
_atom_site_fract_x
_atom_site_fract_y
_atom_site_fract_z
_atom_site_occupancy
Na1 Na 0.232 0.000 0.305 1
Sr1 Sr 0.064 0.500 0.257 1
Sr2 Sr 0.116 0.000 0.791 1
Pt1 Pt 0.000 0.000 0.000 1
```


ΔE_f: -0.4441; -0.4579; -0.4726; -0.6219; -0.3482; -0.2838 (eV per atom)